Density functional theory data (PBE-GGA) for crystalline MgCoSi2Ru at its relaxed geometry.

## Properties
ρ = 4.13 g/cm3
Uncorrected formation energy = 1.75 eV per atom

```
MgCoSi2Ru
1.0
4.658 0.000 0.000
0.000 4.658 0.000
0.000 0.000 4.457
Mg Co Si Ru
1 1 2 1
direct
0.000 0.000 0.000
0.500 0.500 0.500
0.000 0.500 0.000
0.500 0.000 0.000
0.000 0.000 0.500
```

=====

Density functional theory data (PBE-GGA) for crystalline SrMgCoRu2 at its relaxed geometry.

## Properties
ρ = 5.81 g/cm3
Electronic total energy = -4.89 eV/atom

```
SrMgCoRu2
1.0
4.551 0.000 0.000
0.000 4.551 0.000
0.000 0.000 5.146
Sr Mg Co Ru
1 1 1 2
direct
0.000 0.000 0.000
0.500 0.500 0.000
0.000 0.000 0.500
0.000 0.500 0.500
0.500 0.000 0.500
```

=====

Density functional theory data (PBE-GGA) for crystalline MgTa2CoRu at its relaxed geometry.

## Properties
ρ = 10.25 g/cm3
Electronic total energy = -6.51 eV/atom

```
MgTa2CoRu
1.0
4.685 0.000 0.000
0.000 4.685 0.000
0.000 0.000 4.030
Mg Ta Co Ru
1 2 1 1
direct
0.000 0.000 0.000
0.000 0.500 0.000
0.500 0.000 0.000
0.000 0.000 0.500
0.500 0.500 0.500
```

=====

Density functional theory data (PBE-GGA) for crystalline MgTaCoRu at its relaxed geometry.

## Properties
ρ = 10.41 g/cm3
Electronic total energy = -7.73 eV/atom

```
MgTaCoRu
1.0
6.153 0.000 0.000
0.000 6.153 0.000
0.000 0.000 6.153
Mg Ta Co Ru
4 4 4 4
direct
0.000 0.000 0.000
0.000 0.500 0.500
0.500 0.000 0.500
0.500 0.500 0.000
0.000 0.000 0.500
0.000 0.500 0.000
0.500 0.000 0.000
0.500 0.500 0.500
0.250 0.250 0.250
0.250 0.750 0.750
0.750 0.250 0.750
0.750 0.750 0.250
0.250 0.250 0.750
0.250 0.750 0.250
0.750 0.250 0.250
0.750 0.750 0.750
```